1.
Below is an optimized crystal structure of SrLiInAs2, with properties calculated at the PBE level.

Lattice parameters (Å, degrees): 13.6132 4.3851 9.1261 90.00 98.82 90.00
Space group C2/m (No. 12)
Asymmetric unit:
Sr 0.1706 0.0000 0.1837 (multiplicity 4)
Li 0.1753 0.0000 0.5605 (multiplicity 4)
In 0.0604 0.5000 0.6887 (multiplicity 4)
As 0.1318 0.5000 0.4149 (multiplicity 4)
As 0.1395 0.0000 0.8395 (multiplicity 4)

Output
As for the crystal system: monoclinic. As for the electronic total energy: -76.6 eV per cell. For the energy of formation from the pure elements, the calculation gives -0.7016 eV/atom.

2.
Below is an optimized crystal structure of LiTlInAs, with properties calculated at the PBE level.

Lattice parameters (Å, degrees): 7.2600 7.2600 7.2600 90.00 90.00 90.00
Space group F-43m (No. 216)
Asymmetric unit:
Li 0.0000 0.0000 0.0000 (multiplicity 4)
Tl 0.2500 0.2500 0.7500 (multiplicity 4)
In 0.0000 0.0000 0.5000 (multiplicity 4)
As 0.2500 0.2500 0.2500 (multiplicity 4)

Output
As for the crystal system: cubic. As for the electronic total energy: -48.2 eV per cell. For the energy of formation from the pure elements, the calculation gives -0.0979 eV/atom.

3.
Below is an optimized crystal structure of Li2ZrInAs, with properties calculated at the PBE level.

Lattice parameters (Å, degrees): 5.2012 5.2012 5.7026 90.00 90.00 90.00
Space group P4/mmm (No. 123)
Asymmetric unit:
Li 0.0000 0.5000 0.0000 (multiplicity 2)
Zr 0.0000 0.0000 0.0000 (multiplicity 1)
In 0.0000 0.0000 0.5000 (multiplicity 1)
As 0.5000 0.5000 0.5000 (multiplicity 1)

Output
As for the crystal system: tetragonal. As for the electronic total energy: -14.2 eV per cell. For the energy of formation from the pure elements, the calculation gives 1.1137 eV/atom.

4.
Below is an optimized crystal structure of Lu2InAs, with properties calculated at the PBE level.

Lattice parameters (Å, degrees): 3.8830 3.8830 23.6804 90.00 90.00 120.00
Space group R-3m (No. 166, hexagonal axes)
Asymmetric unit:
Lu 0.0000 0.0000 0.2369 (multiplicity 6)
In 0.0000 0.0000 0.0000 (multiplicity 3)
As 0.0000 0.0000 0.5000 (multiplicity 3)

Output
As for the crystal system: trigonal. As for the electronic total energy: -59.6 eV per cell. For the energy of formation from the pure elements, the calculation gives -0.8569 eV/atom.

5.
Below is an optimized crystal structure of MgInAs2, with properties calculated at the PBE level.

Lattice parameters (Å, degrees): 4.6068 4.6297 8.0797 90.00 90.00 90.00
Space group Cmmm (No. 65)
Asymmetric unit:
Mg 0.0000 0.0000 0.0000 (multiplicity 2)
In 0.0000 0.0000 0.5000 (multiplicity 2)
As 0.0000 0.5000 0.2187 (multiplicity 4)

Output
As for the crystal system: orthorhombic. As for the electronic total energy: -27.6 eV per cell. For the energy of formation from the pure elements, the calculation gives -0.0417 eV/atom.

6.
Below is an optimized crystal structure of MgInAs2, with properties calculated at the PBE level.

Lattice parameters (Å, degrees): 7.0178 7.0178 7.0178 90.00 90.00 90.00
Space group F-43m (No. 216)
Asymmetric unit:
Mg 0.0000 0.0000 0.0000 (multiplicity 4)
In 0.2500 0.2500 0.2500 (multiplicity 4)
As 0.0000 0.0000 0.5000 (multiplicity 4)
As 0.2500 0.2500 0.7500 (multiplicity 4)

Output
As for the crystal system: cubic. As for the electronic total energy: -52.4 eV per cell. For the energy of formation from the pure elements, the calculation gives 0.1314 eV/atom.

Question: What is the formula in the first record?
Answer: SrLiInAs2

Question: The lowest energy of formation from the pure elements belongs to which entry?
Answer: Lu2InAs

Question: What is the energy of formation from the pure elements in the sixth record?
Answer: 0.1314 eV/atom

Question: Which of these has the highest electronic total energy?
Answer: Li2ZrInAs